Entry 1:
{
  "formula": "KNa2LiAg",
  "functional": "PBE",
  "state": "relaxed",
  "lattice_angstrom": [[5.8336, 0.0000, 0.0000], [0.0000, 5.8336, 0.0000], [0.0000, 0.0000, 5.3268]],
  "species": ["K", "Na", "Na", "Li", "Ag"],
  "frac_coords": [[0.0000, 0.0000, 0.0000], [0.0000, 0.5000, 0.5000], [0.5000, 0.0000, 0.5000], [0.5000, 0.5000, 0.0000], [0.5000, 0.5000, 0.5000]],
  "space_group": "P4/mmm, No. 123",
  "e_above_lowest_polymorph_ev_per_atom": 0.000,
  "dos_at_fermi_per_ev_atom": 0.3940,
  "dft_energy_ev_per_fu": -8.23,
  "rho_g_cm3": 1.831
}


Entry 2:
{
  "formula": "KNaLi2Ag",
  "functional": "PBE",
  "state": "relaxed",
  "lattice_angstrom": [[5.3071, 0.0000, 0.0000], [0.0000, 5.3071, 0.0000], [0.0000, 0.0000, 5.7553]],
  "species": ["K", "Na", "Li", "Li", "Ag"],
  "frac_coords": [[0.0000, 0.0000, 0.0000], [0.5000, 0.5000, 0.0000], [0.0000, 0.5000, 0.5000], [0.5000, 0.0000, 0.5000], [0.5000, 0.5000, 0.5000]],
  "space_group": "P4/mmm, No. 123",
  "dos_at_fermi_per_ev_atom": 0.4040,
  "dft_energy_ev_per_fu": -8.82,
  "rho_g_cm3": 1.883
}


Entry 3:
{
  "formula": "KNaLiAg",
  "functional": "PBE",
  "state": "relaxed",
  "lattice_angstrom": [[0.0000, 3.8458, 3.8458], [3.8458, 0.0000, 3.8458], [3.8458, 3.8458, 0.0000]],
  "species": ["K", "Na", "Li", "Ag"],
  "frac_coords": [[0.0000, 0.0000, 0.0000], [0.2500, 0.2500, 0.2500], [0.7500, 0.7500, 0.7500], [0.5000, 0.5000, 0.5000]],
  "space_group": "F-43m, No. 216",
  "dos_at_fermi_per_ev_atom": 0.7214,
  "dft_energy_ev_per_fu": -6.75,
  "rho_g_cm3": 2.582
}


Entry 4:
{
  "formula": "K2LiAgO",
  "functional": "PBE",
  "state": "relaxed",
  "lattice_angstrom": [[5.7174, 0.0000, 0.0000], [0.0000, 5.7174, 0.0000], [0.0000, 0.0000, 3.7641]],
  "species": ["K", "K", "Li", "Ag", "O"],
  "frac_coords": [[0.0000, 0.5000, 0.0000], [0.5000, 0.0000, 0.0000], [0.0000, 0.0000, 0.5000], [0.5000, 0.5000, 0.5000], [0.0000, 0.0000, 0.0000]],
  "space_group": "P4/mmm, No. 123",
  "raw_formation_energy_ev_per_fu": -3.679,
  "dft_energy_ev_per_fu": -15.60,
  "rho_g_cm3": 2.821
}